No. 1
The following is a DFT calculation (PBE) of an optimized crystal structure of Ti3Ga4Cu4.

Properties
Calculated total energy: -110.84 eV for the cell shown
E_form: -3.24 eV per formula unit

Lattice parameters (Å, degrees): 26.373 4.202 2.904 90.00 96.29 90.00
Space group C2/m (No. 12)
Symmetry-distinct sites (fractional):
Ti 0.000 0.000 0.000
Ti 0.140 0.500 0.139
Ga 0.048 0.500 0.548
Ga 0.184 0.000 0.684
Cu 0.093 0.000 0.590
Cu 0.234 0.500 0.734


No. 2
The following is a DFT calculation (PBE) of an optimized crystal structure of Ti4Ga3Cu.

Properties
Calculated total energy: -47.45 eV for the cell shown
E above lowest polymorph: 38 meV per atom
E_form: -2.69 eV per formula unit

Lattice parameters (Å, degrees): 3.076 4.001 10.327 90.00 90.00 90.00
Space group Pmm2 (No. 25)
Symmetry-distinct sites (fractional):
Ti 0.000 0.000 0.000
Ti 0.000 0.500 0.328
Ti 0.500 0.000 0.491
Ti 0.500 0.500 0.834
Ga 0.000 0.000 0.740
Ga 0.000 0.500 0.587
Ga 0.500 0.500 0.095
Cu 0.500 0.000 0.236


No. 3
The following is a DFT calculation (PBE) of an optimized crystal structure of Ti2Ga2Cu3.

Properties
Calculated total energy: -69.95 eV for the cell shown
E_form: -0.84 eV per formula unit

Lattice parameters (Å, degrees): 4.012 17.968 2.812 90.00 90.00 90.00
Space group Cmmm (No. 65)
Symmetry-distinct sites (fractional):
Ti 0.000 0.148 0.000
Ga 0.000 0.291 0.500
Cu 0.000 0.000 0.000
Cu 0.000 0.433 0.500